1.
DFT (PBE) results for Cs2CrHI6 after structural relaxation.

space group: No. 139

Structure (POSCAR):
```
Cs2CrHI6
1.0
-3.857 3.857 6.493
3.857 -3.857 6.493
3.857 3.857 -6.493
Cs Cr H I
2 1 1 6
Cartesian
3.857 0.000 3.246 Cs
0.000 3.857 3.246 Cs
0.000 0.000 0.000 Cr
0.000 0.000 6.493 H
0.000 0.000 2.741 I
1.984 1.984 0.000 I
1.873 -1.873 6.493 I
-1.873 1.873 6.493 I
1.873 1.873 6.493 I
0.000 0.000 10.245 I
```

2.
DFT (PBE) results for Cs2KCrH6 after structural relaxation.

space group: No. 225

Structure (POSCAR):
```
Cs2KCrH6
1.0
0.000 4.461 4.461
4.461 0.000 4.461
4.461 4.461 0.000
Cs K Cr H
2 1 1 6
Cartesian
2.231 2.231 2.231 Cs
6.692 6.692 6.692 Cs
0.000 0.000 0.000 K
4.461 4.461 4.461 Cr
4.461 4.461 2.697 H
4.461 2.697 4.461 H
6.226 4.461 4.461 H
2.697 4.461 4.461 H
4.461 6.226 4.461 H
4.461 4.461 6.226 H
```

3.
DFT (PBE) results for Cs2LiCrH6 after structural relaxation.

space group: No. 166

Structure (POSCAR):
```
Cs2LiCrH6
1.0
3.081 1.779 9.574
-3.081 1.779 9.574
0.000 -3.558 9.574
Cs Li Cr H
4 2 2 12
Cartesian
0.000 0.000 3.693 Cs
0.000 0.000 8.156 Cs
0.000 0.000 20.565 Cs
0.000 0.000 25.028 Cs
0.000 0.000 11.770 Li
0.000 0.000 16.951 Li
0.000 0.000 0.000 Cr
0.000 0.000 14.361 Cr
0.000 -2.069 10.566 H
-1.792 1.034 10.566 H
-1.170 -0.676 13.253 H
-1.792 -1.034 18.155 H
0.000 -1.351 15.468 H
-1.170 0.676 15.468 H
1.170 -0.676 13.253 H
0.000 1.351 13.253 H
1.792 1.034 10.566 H
1.170 0.676 15.468 H
1.792 -1.034 18.155 H
0.000 2.069 18.155 H
```

4.
DFT (PBE) results for CsLiCrH6 after structural relaxation.

space group: No. 38

Structure (POSCAR):
```
CsLiCrH6
1.0
6.012 0.000 0.000
0.000 2.619 4.019
0.000 -2.619 4.019
Cs Li Cr H
1 1 1 6
Cartesian
0.000 0.000 0.000 Cs
3.006 0.000 5.425 Li
3.006 0.000 2.532 Cr
1.910 -1.214 2.135 H
1.910 1.214 2.135 H
1.981 0.000 3.785 H
4.031 0.000 3.785 H
4.102 -1.214 2.135 H
4.102 1.214 2.135 H
```

Number 1: E -2.957 eV/atom. Number 2: E -3.432 eV/atom. Number 3: E -3.523 eV/atom. Number 4: E -3.648 eV/atom.